A geometry-optimized Nd7Sm2Er4 structure. Source: Alexandria, functional PBE.

Properties
Formation enthalpy at 0 K   122 meV per atom
Uncorrected energy   -4.575 eV/atom
DOS(E_F)   1.4903 states/eV per atom
Space group   P1

Structure (CIF):
```
data_Nd7Sm2Er4
_space_group_name_H-M_alt 'P 1'
_space_group_IT_number 1
_space_group_name_Hall 'P 1'
_cell_length_a 5.917
_cell_length_b 6.682
_cell_length_c 12.558
_cell_angle_alpha 85.67
_cell_angle_beta 88.91
_cell_angle_gamma 115.87
loop_
_atom_site_label
_atom_site_type_symbol
_atom_site_fract_x
_atom_site_fract_y
_atom_site_fract_z
Nd1 Nd 0.002 0.002 0.002
Nd2 Nd 0.240 0.420 0.795
Nd3 Nd 0.758 0.579 0.205
Nd4 Nd 0.494 0.016 0.767
Nd5 Nd 0.141 0.360 0.304
Nd6 Nd 0.506 0.983 0.233
Nd7 Nd 0.859 0.640 0.695
Sm1 Sm 0.686 0.365 0.965
Sm2 Sm 0.315 0.636 0.035
Er1 Er 0.989 0.834 0.414
Er2 Er 0.011 0.166 0.585
Er3 Er 0.580 0.284 0.471
Er4 Er 0.420 0.716 0.529
```